4
Lattice="4.9572 -1.9199 0.0000 4.9572 1.9199 0.0000 -1.6329 0.0000 5.1170" Properties=species:S:1:pos:R:3 comment="SrLi2Ag PBEsol optimized geometry" dft_energy_ev_per_cell=-9.374 pbc="T T T"
Sr 0.0000 0.0000 0.0000
Li 1.0308 0.0000 3.3260
Li 7.2508 0.0000 1.7910
Ag 4.1408 0.0000 2.5585

5
Lattice="4.6601 0.0000 0.0000 0.0000 4.6601 0.0000 0.0000 0.0000 4.8497" Properties=species:S:1:pos:R:3 comment="MnAgMo2Pd PBEsol optimized geometry" dft_energy_ev_per_cell=-32.957 pbc="T T T"
Mn 0.0000 0.0000 0.0000
Ag 2.3300 2.3300 0.0000
Mo 0.0000 2.3300 2.4249
Mo 2.3300 0.0000 2.4249
Pd 2.3300 2.3300 2.4249

4
Lattice="2.8106 0.0000 0.0000 0.0000 4.5145 0.0000 -1.0004 0.0000 5.1279" Properties=species:S:1:pos:R:3 comment="ZrTcW2 PBEsol optimized geometry" de_polymorph_mev_per_atom=26 dft_energy_ev_per_cell=-47.858 pbc="T T T"
Zr 0.0000 0.0000 0.0000
Tc 0.9051 0.0000 2.5639
W -0.0188 2.2573 3.8218
W 1.8290 2.2573 1.3061

64
Lattice="12.6003 0.0000 0.0000 0.0000 6.2191 0.0000 0.0000 0.0000 10.5559" Properties=species:S:1:pos:R:3 comment="NaVPO4F PBEsol optimized geometry" raw_formation_energy_ev_per_atom=-2.380 dft_energy_ev_per_cell=-470.322 pbc="T T T"
Na 1.2407 1.5488 0.0000
Na 1.9023 4.4380 7.4000
Na 4.3979 1.3285 2.1221
Na 5.0594 4.6584 5.2779
Na 7.5409 1.5607 0.0000
Na 8.2024 4.8906 7.4000
Na 10.6980 1.7811 2.1221
Na 11.3595 4.6702 5.2779
V 1.4485 6.1093 4.5723
V 2.9170 4.5788 1.7583
V 3.3831 1.4692 7.0362
V 4.8516 2.9998 9.8502
V 7.7487 3.2193 4.5723
V 9.2172 4.7498 1.7583
V 9.6832 1.6403 7.0362
V 11.1517 0.1097 9.8502
P 0.2136 1.0850 7.2876
P 2.3590 2.9867 4.4943
P 3.9412 6.0963 9.7722
P 6.0865 4.1945 2.0097
P 6.5137 2.0246 7.2876
P 8.6591 0.1228 4.4943
P 10.2413 3.2323 9.7722
P 12.3867 5.1341 2.0097
O 0.0810 0.4234 8.6930
O 0.3821 6.1302 6.2780
O 0.9925 4.2441 1.6520
O 1.4176 1.7876 4.3900
O 1.4719 1.9815 7.3110
O 1.4927 4.1928 4.9112
O 2.8484 5.9143 0.3104
O 3.1112 3.2178 3.1618
O 3.1889 0.1082 8.4397
O 3.4517 2.8047 5.5883
O 4.8074 1.0833 10.1892
O 4.8283 5.0911 2.0331
O 4.8825 4.8971 9.6679
O 5.3076 1.1346 6.9299
O 5.9181 3.0207 1.0001
O 6.2191 3.5330 3.4151
O 6.3811 2.6861 8.6930
O 6.6822 3.1984 6.2780
O 7.2926 5.0845 1.6520
O 7.7177 1.3219 4.3900
O 7.7720 1.1280 7.3110
O 7.7928 5.1358 4.9112
O 9.1486 3.4143 0.3104
O 9.4114 6.1108 3.1618
O 9.4890 3.0013 8.4397
O 9.7519 0.3048 5.5883
O 11.1076 2.0263 10.1892
O 11.1284 4.2375 2.0331
O 11.1827 4.4315 9.6679
O 11.6078 1.9749 6.9299
O 12.2182 0.0889 1.0001
O 12.5193 5.7956 3.4151
F 2.6701 6.0755 3.0237
F 3.1177 6.1862 5.7168
F 3.1824 3.0766 0.4388
F 3.6301 2.9659 8.3016
F 8.9702 3.2531 3.0237
F 9.4179 3.1425 5.7168
F 9.4825 0.0329 0.4388
F 9.9302 0.1436 8.3016

5
Lattice="6.4820 0.0000 0.0000 0.0000 6.4820 0.0000 0.0000 0.0000 4.2922" Properties=species:S:1:pos:R:3 comment="SrLaI2O PBEsol optimized geometry" raw_formation_energy_ev_per_atom=-1.722 dft_energy_ev_per_cell=-24.582 pbc="T T T"
Sr 0.0000 0.0000 0.0000
La 3.2410 3.2410 2.1461
I 0.0000 3.2410 2.1461
I 3.2410 0.0000 2.1461
O 3.2410 3.2410 0.0000

4
Lattice="3.5357 0.0000 0.0000 0.0000 4.9617 0.0000 0.0000 0.0000 6.9062" Properties=species:S:1:pos:R:3 comment="La2YSc PBEsol optimized geometry" de_polymorph_mev_per_atom=21 dft_energy_ev_per_cell=-23.924 pbc="T T T"
La 0.0000 0.0000 0.0000
La 1.7678 2.4808 1.7511
Y 1.7678 2.4808 5.0921
Sc 0.0000 0.0000 3.4767

6
Lattice="4.0640 0.0000 0.0000 -2.0320 3.5195 0.0000 0.0000 0.0000 7.9711" Properties=species:S:1:pos:R:3 comment="NdNiAs PBEsol optimized geometry" dft_energy_ev_per_cell=-39.270 pbc="T T T"
Nd 0.0000 0.0000 0.0000
Nd 0.0000 0.0000 3.9856
Ni 0.0000 2.3464 1.9928
Ni 2.0320 1.1732 5.9783
As 0.0000 2.3464 5.9783
As 2.0320 1.1732 1.9928

4
Lattice="0.0000 3.2891 3.2891 3.2891 0.0000 3.2891 3.2891 3.2891 0.0000" Properties=species:S:1:pos:R:3 comment="CaTlOs2 PBEsol optimized geometry" de_polymorph_mev_per_atom=0 dft_energy_ev_per_cell=-25.970 pbc="T T T"
Ca 0.0000 0.0000 0.0000
Tl 1.6446 1.6446 1.6446
Os 3.2891 3.2891 3.2891
Os 4.9337 4.9337 4.9337